[1]
Crystalline ZnPt2Au at its relaxed geometry. Source: the Alexandria database, functional PBE.

abc: 2.865 3.740 5.914
angles: 90.00 90.21 90.00
Space group P2/m (No. 10)
Symmetry-distinct sites (fractional):
1 Zn 0.000 0.000 0.000 [1 per cell]
2 Pt 0.500 0.500 0.233 [2 per cell]
3 Au 0.000 0.000 0.500 [1 per cell]

Size of the total moment ... 0.0 Bohr magnetons per cell
ΔE_f ... -0.981 eV/f.u.
DFT total energy ... -17.614 eV per cell



[2]
Crystalline Zn6PtAu2 at its relaxed geometry. Source: the Alexandria database, functional PBE.

abc: 8.434 4.632 8.245
angles: 90.00 120.35 90.00
Space group C2/m (No. 12)
Symmetry-distinct sites (fractional):
1 Zn 0.001 0.000 0.169 [4 per cell]
2 Zn 0.169 0.500 0.170 [4 per cell]
3 Zn 0.169 0.500 0.499 [4 per cell]
4 Pt 0.000 0.000 0.500 [2 per cell]
5 Au 0.164 0.500 0.828 [4 per cell]

Size of the total moment ... 0.0 Bohr magnetons per cell
ΔE_f ... -2.156 eV/f.u.
DFT total energy ... -44.790 eV per cell
Energy above the most stable polymorph in this dataset ... 0.0 kJ per mole of atoms



[3]
Crystalline Zn8PtAu5 at its relaxed geometry. Source: the Alexandria database, functional PBE.

abc: 7.716 7.716 7.920
angles: 90.00 90.00 90.00
Space group I-4 (No. 82)
Symmetry-distinct sites (fractional):
1 Zn 0.070 0.328 0.431 [8 per cell]
2 Zn 0.096 0.172 0.760 [8 per cell]
3 Pt 0.000 0.000 0.500 [2 per cell]
4 Au 0.000 0.500 0.750 [2 per cell]
5 Au 0.116 0.224 0.095 [8 per cell]

Size of the total moment ... 0.0 Bohr magnetons per cell
ΔE_f ... -2.630 eV/f.u.
DFT total energy ... -70.498 eV per cell



[4]
Crystalline ZnPtAu3 at its relaxed geometry. Source: the Alexandria database, functional PBE.

abc: 4.717 4.717 4.717
angles: 90.00 90.00 90.00
Space group Pm-3m (No. 221)
Symmetry-distinct sites (fractional):
1 Zn 0.000 0.000 0.000 [1 per cell]
2 Pt 0.500 0.500 0.500 [1 per cell]
3 Au 0.000 0.000 0.500 [3 per cell]

Size of the total moment ... 0.0 Bohr magnetons per cell
ΔE_f ... 3.764 eV/f.u.
DFT total energy ... -13.383 eV per cell
Energy above the most stable polymorph in this dataset ... 0.0 kJ per mole of atoms



[5]
Crystalline ZnPt3Au at its relaxed geometry. Source: the Alexandria database, functional PBE.

abc: 4.605 4.605 4.605
angles: 90.00 90.00 90.00
Space group Pm-3m (No. 221)
Symmetry-distinct sites (fractional):
1 Zn 0.000 0.000 0.000 [1 per cell]
2 Pt 0.000 0.000 0.500 [3 per cell]
3 Au 0.500 0.500 0.500 [1 per cell]

Size of the total moment ... 0.0 Bohr magnetons per cell
ΔE_f ... 3.995 eV/f.u.
DFT total energy ... -18.679 eV per cell
Energy above the most stable polymorph in this dataset ... 82.5 kJ per mole of atoms



[6]
Crystalline Zn4PtAu3 at its relaxed geometry. Source: the Alexandria database, functional PBE.

abc: 3.091 3.091 13.265
angles: 90.00 90.00 90.00
Space group P4/mmm (No. 123)
Symmetry-distinct sites (fractional):
1 Zn 0.000 0.000 0.116 [2 per cell]
2 Zn 0.000 0.000 0.372 [2 per cell]
3 Pt 0.500 0.500 0.000 [1 per cell]
4 Au 0.500 0.500 0.245 [2 per cell]
5 Au 0.500 0.500 0.500 [1 per cell]

Size of the total moment ... 0.0 Bohr magnetons per cell
ΔE_f ... -2.248 eV/f.u.
DFT total energy ... -23.217 eV per cell